GdBiTeO2 after structural relaxation. Source: OQMD via LeMat-Bulk, functional PBE-GGA.

a = 3.9716 Å, b = 3.9716 Å, c = 12.5895 Å
α = 90.00°, β = 90.00°, γ = 90.00°
Space group I4mm (No. 107)
Symmetry-distinct sites (fractional):
Gd (0.0000, 0.0000, 0.0000) (multiplicity 2)
Bi (0.0000, 0.0000, 0.6873) (multiplicity 2)
Te (0.0000, 0.0000, 0.3470) (multiplicity 2)
O (0.0000, 0.5000, 0.0902) (multiplicity 4)

Properties
* energy: -6.271 eV per atom
* magnetic moment: 0.002 μB per cell